# 1
A plane-wave DFT calculation with GGA-PBE was carried out for a geometry-optimized Ir2OsW structure.

Its density of states at the Fermi level is 0.92 states/eV/atom. The formation energy comes out at 0.12 eV per formula unit. Its energy above the most stable polymorph in this dataset is 0.251 eV per atom.

It has space group R3m (No. 160, hexagonal axes), with a = 2.7631 Å, b = 2.7631 Å, c = 27.0296 Å, α = 90.00°, β = 90.00° and γ = 120.00°. Symmetry generates all atoms from Ir at (0.0000, 0.0000, 0.0000), Ir at (0.0000, 0.0000, 0.2483), Os at (0.0000, 0.0000, 0.5011) and W at (0.0000, 0.0000, 0.7486).

***

# 2
A plane-wave DFT calculation with GGA-PBE was carried out for a geometry-optimized IrOsW structure.

Its density of states at the Fermi level is 0.56 states/eV/atom. The formation energy comes out at -0.07 eV per formula unit. Its energy above the most stable polymorph in this dataset is 0.177 eV per atom.

It has space group P6_3/mmc (No. 194), with a = 4.3900 Å, b = 4.3900 Å, c = 5.4664 Å, α = 90.00°, β = 90.00° and γ = 120.00°. Symmetry generates all atoms from Ir at (0.3333, 0.6667, 0.2500), Os at (0.0000, 0.0000, 0.0000) and W at (0.3333, 0.6667, 0.7500).

***

# 3
A plane-wave DFT calculation with GGA-PBE was carried out for a geometry-optimized IrOsW4 structure.

Its density of states at the Fermi level is 0.80 states/eV/atom. The formation energy comes out at 2.68 eV per formula unit.

It has space group F-43m (No. 216), with a = 7.304 Å, b = 7.304 Å, c = 7.304 Å, α = 90.00°, β = 90.00° and γ = 90.00°. Symmetry generates all atoms from Ir at (0.000, 0.000, 0.000), Os at (0.250, 0.250, 0.750) and W at (0.125, 0.125, 0.375).

***

# 4
A plane-wave DFT calculation with GGA-PBE was carried out for a geometry-optimized Ir2OsW structure.

Its density of states at the Fermi level is 1.21 states/eV/atom. The formation energy comes out at -0.22 eV per formula unit. Its energy above the most stable polymorph in this dataset is 0.166 eV per atom.

It has space group C2/m (No. 12), with a = 9.178 Å, b = 2.759 Å, c = 4.759 Å, α = 90.00°, β = 100.12° and γ = 90.00°. Symmetry generates all atoms from Ir at (0.249, 0.000, 0.246), Os at (0.000, 0.500, 0.000) and W at (0.000, 0.000, 0.500).